Entry 1:
DFT (PBE) results for a relaxed structure of PrZnHgBi.

Unit cell a=7.5354 b=7.5354 c=7.5354 alpha=90.00 beta=90.00 gamma=90.00
Last column: nearest neighbours and their distance in Å.
Space group F-43m (No. 216)
Asymmetric unit:
Pr: 0.0000 0.0000 0.0000  4 Zn 3.26, 4 Hg 3.26
Zn: 0.2500 0.2500 0.2500  4 Pr 3.26, 4 Bi 3.26
Hg: 0.2500 0.2500 0.7500  4 Pr 3.26, 4 Bi 3.26
Bi: 0.0000 0.0000 0.5000  4 Hg 3.26, 4 Zn 3.26

Output
Raw total energy in eV/atom: -2.84

***

Entry 2:
DFT (PBE) results for a relaxed structure of Cs3CdH6.

Unit cell a=12.9461 b=17.5659 c=4.2621 alpha=90.00 beta=90.00 gamma=90.00
Last column: nearest neighbours and their distance in Å.
Space group Cmc2_1 (No. 36)
Asymmetric unit:
Cs: 0.0000 0.0909 0.0000  8 H 3.09-3.23
Cs: 0.2021 0.3836 0.5045  9 H 3.08-3.39
Cd: 0.0000 0.2952 0.0059  3 H 1.82-1.84
H: 0.0000 0.2900 0.5061  2 Cd 2.13
H: 0.0000 0.3999 0.0060  1 Cd 1.84
H: 0.1263 0.2492 0.0060  1 Cd 1.82
H: 0.1595 0.0400 0.5018  2 H 2.55

Output
Raw total energy in eV/atom: -2.28

***

Entry 3:
DFT (PBE) results for a relaxed structure of TbErMgTl.

Unit cell a=7.5306 b=7.5306 c=7.5306 alpha=90.00 beta=90.00 gamma=90.00
Last column: nearest neighbours and their distance in Å.
Space group F-43m (No. 216)
Asymmetric unit:
Tb: 0.0000 0.0000 0.0000  4 Tl 3.26, 4 Mg 3.26
Er: 0.0000 0.0000 0.5000  4 Tl 3.26, 4 Mg 3.26
Mg: 0.2500 0.2500 0.2500  4 Er 3.26, 4 Tb 3.26
Tl: 0.2500 0.2500 0.7500  4 Tb 3.26, 4 Er 3.26

Output
Raw total energy in eV/atom: -3.51

***

Entry 4:
DFT (PBE) results for a relaxed structure of Na14Ga2O9.

Unit cell a=6.7735 b=6.7735 c=9.4416 alpha=90.00 beta=90.00 gamma=120.00
Last column: nearest neighbours and their distance in Å.
Space group P-3 (No. 147)
Asymmetric unit:
Na: 0.0000 0.0000 0.2485  4 O 2.35-2.47
Na: 0.0425 0.6795 0.9086  4 O 2.44-2.49
Na: 0.0825 0.3865 0.5944  4 O 2.41-2.48
Ga: 0.3333 0.6667 0.2676  4 O 1.93-1.94
O: 0.0000 0.0000 0.0000  8 Na 2.35-2.48
O: 0.0868 0.3779 0.3372  1 Ga 1.94
O: 0.3333 0.6667 0.0633  1 Ga 1.93

Output
Formation energy from raw total energies in eV/atom: -1.31

***

Entry 5:
DFT (PBE) results for a relaxed structure of FeMoCl2.

Unit cell a=14.0407 b=3.0459 c=3.9950 alpha=90.00 beta=93.57 gamma=90.00
Last column: nearest neighbours and their distance in Å.
Space group C2/m (No. 12)
Asymmetric unit:
Fe: 0.0000 0.0000 0.0000  2 Cl 2.24, 4 Mo 2.51
Mo: 0.0000 0.5000 0.5000  4 Fe 2.51, 4 Cl 2.51
Cl: 0.1326 0.0000 0.7140  1 Fe 2.24

Output
Offset from the most stable computed form in meV/atom: 255
Formation energy from raw total energies in eV/atom: 0.05

***

Entry 6:
DFT (PBE) results for a relaxed structure of La3PrY.

Unit cell a=11.4703 b=7.4699 c=10.0917 alpha=90.00 beta=122.89 gamma=90.00
Last column: nearest neighbours and their distance in Å.
Space group C2/m (No. 12)
Asymmetric unit:
La: 0.1106 0.2108 0.3011  1 La 3.15, 1 Y 3.35, 1 Pr 3.37
La: 0.2178 0.0000 0.0546  2 Pr 3.57-3.86, 1 Y 3.59, 4 La 3.67-3.86
Pr: 0.0000 0.5000 0.0000  6 La 3.37-3.57, 2 Y 3.57
Pr: 0.0000 0.5000 0.5000  6 La 3.61-3.86
Y: 0.1514 0.0000 0.6639  1 Y 3.24, 5 La 3.35-3.59, 1 Pr 3.57

Output
Offset from the most stable computed form in meV/atom: 0

***

Entry 7:
DFT (PBE) results for a relaxed structure of CuH20S2N2O14.

Unit cell a=6.4839 b=12.3159 c=9.1659 alpha=90.00 beta=105.36 gamma=90.00
Last column: nearest neighbours and their distance in Å.
Space group P2_1/c (No. 14)
Asymmetric unit:
Cu: 0.0000 0.0000 0.0000  4 O 1.99-2.02
H: 0.0084 0.1857 0.1316  1 O 1.00
H: 0.0692 0.0951 0.2616  1 O 1.00
H: 0.1194 0.6279 0.7743  1 O 0.98
H: 0.1951 0.6692 0.0661  1 N 1.04
H: 0.2995 0.0595 0.8819  1 O 1.00
H: 0.3024 0.1428 0.0142  1 O 1.00
H: 0.3357 0.5942 0.7367  1 O 0.98
H: 0.3702 0.5763 0.1635  1 N 1.04
H: 0.3759 0.7068 0.2274  1 N 1.03
H: 0.4544 0.6808 0.0696  1 N 1.04
S: 0.2523 0.1360 0.5753  4 O 1.48-1.50
N: 0.3501 0.6579 0.1331  4 H 1.03-1.04
O: 0.0248 0.6102 0.3425  2 H 1.00
O: 0.0466 0.1798 0.5974  1 S 1.50
O: 0.1913 0.6234 0.6924  2 H 0.98
O: 0.2125 0.0691 0.4368  1 S 1.48
O: 0.2745 0.0650 0.9843  2 H 1.00
O: 0.3623 0.0676 0.7090  1 S 1.50
O: 0.3964 0.2297 0.5651  1 S 1.50

Output
Raw total energy in eV/atom: -5.24

***

Entry 8:
DFT (PBE) results for a relaxed structure of MgTiSi2F.

Unit cell a=4.5507 b=4.5507 c=3.8008 alpha=90.00 beta=90.00 gamma=90.00
Last column: nearest neighbours and their distance in Å.
Space group P4/mmm (No. 123)
Asymmetric unit:
Mg: 0.0000 0.0000 0.0000  2 F 1.90
Ti: 0.5000 0.5000 0.0000  8 Si 2.96, 4 Mg 3.22
Si: 0.0000 0.5000 0.5000  2 F 2.28
F: 0.0000 0.0000 0.5000  2 Mg 1.90

Output
Formation energy from raw total energies in eV/atom: -0.31

***

Entry 9:
DFT (PBE) results for a relaxed structure of PmNd3Te3.

Unit cell a=9.2682 b=9.2682 c=18.4165 alpha=90.00 beta=90.00 gamma=120.00
Last column: nearest neighbours and their distance in Å.
Space group R-3 (No. 148, hexagonal axes)
Asymmetric unit:
Pm: 0.0000 0.0000 0.1827  6 Te 3.20-3.27
Nd: 0.0051 0.2563 0.4136  5 Te 3.14-3.32
Te: 0.0152 0.3968 0.5798  5 Nd 3.14-3.32, 2 Pm 3.20-3.27

Output
Formation energy from raw total energies in eV/atom: -1.13

***

Entry 10:
DFT (PBE) results for a relaxed structure of LaTbYCu.

Unit cell a=3.5517 b=3.5517 c=8.8603 alpha=90.00 beta=90.00 gamma=90.00
Last column: nearest neighbours and their distance in Å.
Space group P4mm (No. 99)
Asymmetric unit:
La: 0.0000 0.0000 0.0000  4 La 3.55, 4 Tb 3.72, 4 Y 3.74
Tb: 0.5000 0.5000 0.3102  4 Cu 3.01, 1 Y 3.34
Y: 0.5000 0.5000 0.6868  4 Cu 3.02, 1 Tb 3.34
Cu: 0.0000 0.0000 0.4977  4 Tb 3.01, 4 Y 3.02

Output
Raw total energy in eV/atom: -5.12

***

Entry 11:
DFT (PBE) results for a relaxed structure of CoHgPt2.

Unit cell a=5.6551 b=7.9241 c=2.8549 alpha=90.00 beta=90.00 gamma=90.00
Last column: nearest neighbours and their distance in Å.
Space group Cmmm (No. 65)
Asymmetric unit:
Co: 0.0000 0.0000 0.0000  8 Pt 2.82, 2 Hg 2.83, 2 Co 2.85
Hg: 0.0000 0.5000 0.0000  8 Pt 2.82, 2 Co 2.83, 2 Hg 2.85
Pt: 0.2500 0.2500 0.5000  4 Hg 2.82, 4 Co 2.82, 4 Pt 2.83-2.85

Output
Raw total energy in eV/atom: -4.72

***

Entry 12:
DFT (PBE) results for a relaxed structure of K3NdPu2S6.

Unit cell a=7.1751 b=12.4278 c=7.7339 alpha=90.00 beta=108.03 gamma=90.00
Last column: nearest neighbours and their distance in Å.
Space group C2/m (No. 12)
Asymmetric unit:
K: 0.0000 0.0000 0.0000  6 S 3.20-3.26
K: 0.0000 0.3342 0.0000  6 S 3.21-3.26
Nd: 0.0000 0.5000 0.5000  6 S 2.86
Pu: 0.0000 0.1668 0.5000  6 S 2.80
S: 0.2272 0.0000 0.7031  2 Pu 2.80, 1 Nd 2.86
S: 0.2380 0.3298 0.7029  2 Pu 2.80, 1 Nd 2.86

Output
Formation energy from raw total energies in eV/atom: -1.67